1.
# CaHo3Fe, relaxed, DFT PBE
data_CaHo3Fe
_chemical_formula_sum 'Ca2 Ho6 Fe2'
_cell_length_a 9.017
_cell_length_b 3.630
_cell_length_c 9.607
_cell_angle_alpha 90.00
_cell_angle_beta 110.13
_cell_angle_gamma 90.00
_symmetry_space_group_name_H-M 'P 1 21/m 1'
_symmetry_Int_Tables_number 11
loop_
_symmetry_equiv_pos_as_xyz
'x,y,z'
'-x,-y,-z'
'-x,y+1/2,-z'
'x,-y+1/2,z'
loop_
_atom_site_label
_atom_site_fract_x
_atom_site_fract_y
_atom_site_fract_z
Ca1 0.160 0.250 0.439
Ho1 0.158 0.750 0.110
Ho2 0.215 0.250 0.833
Ho3 0.500 0.250 0.274
Fe1 0.440 0.750 0.027
# E above lowest polymorph: 10 meV/atom
# E_form: 51 meV per atom

---

2.
# Si2PdF, relaxed, DFT PBE
data_Si2PdF
_chemical_formula_sum 'Si8 Pd4 F4'
_cell_length_a 4.158
_cell_length_b 4.158
_cell_length_c 14.528
_cell_angle_alpha 90.00
_cell_angle_beta 90.00
_cell_angle_gamma 90.00
_symmetry_space_group_name_H-M 'I -4 2 d'
_symmetry_Int_Tables_number 122
_symmetry_space_group_name_Hall 'I -4 2bw'
loop_
_atom_site_label
_atom_site_fract_x
_atom_site_fract_y
_atom_site_fract_z
Si1 0.182 0.250 0.125
Pd1 0.000 0.000 0.500
F1 0.000 0.000 0.000
# Formation energy from raw total energies: -0.33 eV/atom
# E above lowest polymorph: 110 meV/atom

---

3.
# Al3PtF, relaxed, DFT PBE
data_Al3PtF
_chemical_formula_sum 'Al3 Pt1 F1'
_cell_length_a 4.198
_cell_length_b 4.198
_cell_length_c 4.198
_cell_angle_alpha 90.00
_cell_angle_beta 90.00
_cell_angle_gamma 90.00
_symmetry_space_group_name_H-M 'P m -3 m'
_symmetry_Int_Tables_number 221
_symmetry_space_group_name_Hall '-P 4 2 3'
loop_
_atom_site_label
_atom_site_fract_x
_atom_site_fract_y
_atom_site_fract_z
Al1 0.000 0.000 0.500
Pt1 0.500 0.500 0.500
F1 0.000 0.000 0.000
# Formation energy from raw total energies: -0.38 eV/atom
# E above lowest polymorph: 437 meV/atom

---

Calculated total energy (computed, eV per cell): -47.885; -76.847; -21.015